The following is a DFT calculation (PBE) of crystalline CoCuSi2 at its relaxed geometry.

Cell lengths 6.5968, 6.5968, 5.2828 Å; angles 51.36, 51.36, 90.00 degrees
Element x y z (fractional)
Si  0.8750  0.8448  0.7500
Cu  0.7500  0.2500  0.5000
Cu  0.0000  0.0000  0.0000
Co  0.2500  0.7500  0.5000
Si  0.5948  0.1250  0.2500
Si  0.3750  0.4052  0.7500
Co  0.5000  0.5000  0.0000
Si  0.1552  0.6250  0.2500

Summary:
- Size of the total moment: 0.0 μB per formula unit
- Fermi-level density of states: 4.521 states/eV/cell
- DFT total energy: -5.215 eV per atom
- Crystal system: tetragonal


The following is a DFT calculation (PBE) of crystalline Pr3PuF at its relaxed geometry.

Cell lengths 5.1793, 5.1793, 5.1793 Å; angles 90.00, 90.00, 90.00 degrees
Site moments in Bohr magnetons follow the coordinates.
Element x y z (fractional)
Pr  0.5000  0.0000  0.0000  0.06
Pr  0.0000  0.0000  0.5000  0.06
Pu  0.5000  0.5000  0.5000  5.52
F  0.0000  0.0000  0.0000  0.00
Pr  0.0000  0.5000  0.0000  0.06

Summary:
- Size of the total moment: 6.4 μB per formula unit
- Fermi-level density of states: 14.205 states/eV/cell
- DFT total energy: -6.962 eV per atom
- Crystal system: cubic